# 1
DFT (GGA-PBE) results for a relaxed HoBeB crystal.

Summary:
E above lowest polymorph: 0 meV per atom
Space group: No. 216
Calculated density: 6.8 g/cm3

Cell: 3.993 3.993 3.993 Å, 60.00 60.00 60.00°
Fractional positions:
Ho  0.000  0.000  0.000
Be  0.500  0.500  0.500
B  0.750  0.750  0.750

# 2
DFT (GGA-PBE) results for a relaxed HoBeB4 crystal.

Summary:
E above lowest polymorph: 81 meV per atom
Space group: No. 71
Calculated density: 5.9 g/cm3

Cell: 4.809 4.809 4.809 Å, 141.64 114.65 78.40°
Fractional positions:
Ho  0.000  0.000  0.000
Be  0.500  0.500  0.000
B  0.066  0.741  0.326
B  0.415  0.741  0.674
B  0.585  0.259  0.326
B  0.934  0.259  0.674

# 3
DFT (GGA-PBE) results for a relaxed HoBeB4 crystal.

Summary:
E above lowest polymorph: 0 meV per atom
Space group: No. 191
Calculated density: 6.5 g/cm3

Cell: 3.104 3.104 6.650 Å, 90.00 90.00 120.00°
Fractional positions:
Ho  0.000  0.000  0.000
Be  0.000  0.000  0.500
B  0.333  0.667  0.295
B  0.333  0.667  0.705
B  0.667  0.333  0.295
B  0.667  0.333  0.705

# 4
DFT (GGA-PBE) results for a relaxed Ho4BeB2 crystal.

Summary:
Space group: No. 123
Calculated total energy: -4.955 eV/atom
Calculated density: 8.5 g/cm3

Cell: 4.572 4.572 6.461 Å, 90.00 90.00 90.00°
Fractional positions:
Ho  0.000  0.500  0.246
Ho  0.000  0.500  0.754
Ho  0.500  0.000  0.246
Ho  0.500  0.000  0.754
Be  0.000  0.000  0.500
B  0.000  0.000  0.000
B  0.500  0.500  0.500

# 5
DFT (GGA-PBE) results for a relaxed BeInNiB crystal.

Summary:
E above lowest polymorph: 85 meV per atom
Space group: No. 216
Calculated density: 6.6 g/cm3

Cell: 4.097 4.097 4.097 Å, 60.00 60.00 60.00°
Fractional positions:
Be  0.000  0.000  0.000
In  0.500  0.500  0.500
Ni  0.250  0.250  0.250
B  0.750  0.750  0.750

# 6
DFT (GGA-PBE) results for a relaxed BeInNiB crystal.

Summary:
E above lowest polymorph: 97 meV per atom
Space group: No. 216
Calculated density: 6.7 g/cm3

Cell: 4.070 4.070 4.070 Å, 60.00 60.00 60.00°
Fractional positions:
Be  0.000  0.000  0.000
In  0.750  0.750  0.750
Ni  0.500  0.500  0.500
B  0.250  0.250  0.250

# 7
DFT (GGA-PBE) results for a relaxed BeInNiB crystal.

Summary:
E above lowest polymorph: 0 meV per atom
Space group: No. 216
Calculated density: 7.0 g/cm3

Cell: 4.020 4.020 4.020 Å, 60.00 60.00 60.00°
Fractional positions:
Be  0.000  0.000  0.000
In  0.750  0.750  0.750
Ni  0.250  0.250  0.250
B  0.500  0.500  0.500

# 8
DFT (GGA-PBE) results for a relaxed BeB4Ir crystal.

Summary:
E above lowest polymorph: 56 meV per atom
Space group: No. 191
Calculated density: 8.3 g/cm3

Cell: 2.952 2.952 6.449 Å, 90.00 90.00 120.00°
Fractional positions:
Be  0.000  0.000  0.000
B  0.333  0.667  0.217
B  0.333  0.667  0.783
B  0.667  0.333  0.217
B  0.667  0.333  0.783
Ir  0.000  0.000  0.500